a.
The following is a DFT calculation (PBE) of an optimized crystal structure of ScSiH.

CIF file:
```
data_ScSiH
_chemical_formula_sum 'Sc4 Si4 H4'
_cell_length_a 8.456
_cell_length_b 3.272
_cell_length_c 5.669
_cell_angle_alpha 90.00
_cell_angle_beta 90.00
_cell_angle_gamma 90.00
_space_group_name_H-M_alt 'P n m a'
_space_group_IT_number 62
_space_group_name_Hall '-P 2ac 2n'
loop_
_atom_site_label
_atom_site_fract_x
_atom_site_fract_y
_atom_site_fract_z
_atom_site_occupancy
Sc1 0.010 0.250 0.239 1
Si1 0.236 0.250 0.589 1
H1 0.090 0.250 0.904 1
```

b.
The following is a DFT calculation (PBE) of an optimized crystal structure of ScSiH.

CIF file:
```
data_ScSiH
_chemical_formula_sum 'Sc2 Si2 H2'
_cell_length_a 3.703
_cell_length_b 3.719
_cell_length_c 5.690
_cell_angle_alpha 90.00
_cell_angle_beta 108.91
_cell_angle_gamma 90.00
_space_group_name_H-M_alt 'P 1 21/m 1'
_space_group_IT_number 11
_space_group_name_Hall '-P 2yb'
loop_
_atom_site_label
_atom_site_fract_x
_atom_site_fract_y
_atom_site_fract_z
_atom_site_occupancy
Sc1 0.150 0.250 0.301 1
Si1 0.435 0.250 0.870 1
H1 0.252 0.750 0.506 1
```

c.
The following is a DFT calculation (PBE) of an optimized crystal structure of ScSiH.

CIF file:
```
data_ScSiH
_chemical_formula_sum 'Sc4 Si4 H4'
_cell_length_a 5.534
_cell_length_b 5.613
_cell_length_c 5.564
_cell_angle_alpha 90.00
_cell_angle_beta 90.00
_cell_angle_gamma 90.00
_space_group_name_H-M_alt 'P n m a'
_space_group_IT_number 62
_space_group_name_Hall '-P 2ac 2n'
loop_
_atom_site_label
_atom_site_fract_x
_atom_site_fract_y
_atom_site_fract_z
_atom_site_occupancy
Sc1 0.235 0.250 0.006 1
Si1 0.245 0.250 0.523 1
H1 0.047 0.250 0.312 1
```

The most stable of them is b.

a.
The following is a DFT calculation (PBE) of an optimized crystal structure of ScSiH3.

CIF file:
```
data_ScSiH3
_chemical_formula_sum 'Sc1 Si1 H3'
_cell_length_a 3.719
_cell_length_b 3.719
_cell_length_c 3.719
_cell_angle_alpha 90.00
_cell_angle_beta 90.00
_cell_angle_gamma 90.00
_space_group_name_H-M_alt 'P m -3 m'
_space_group_IT_number 221
_space_group_name_Hall '-P 4 2 3'
loop_
_atom_site_label
_atom_site_fract_x
_atom_site_fract_y
_atom_site_fract_z
_atom_site_occupancy
Sc1 0.000 0.000 0.000 1
Si1 0.500 0.500 0.500 1
H1 0.000 0.000 0.500 1
```

b.
The following is a DFT calculation (PBE) of an optimized crystal structure of ScSiH3.

CIF file:
```
data_ScSiH3
_chemical_formula_sum 'Sc1 Si1 H3'
_cell_length_a 3.554
_cell_length_b 3.554
_cell_length_c 3.554
_cell_angle_alpha 90.00
_cell_angle_beta 90.00
_cell_angle_gamma 90.00
_space_group_name_H-M_alt 'P m -3 m'
_space_group_IT_number 221
_space_group_name_Hall '-P 4 2 3'
loop_
_atom_site_label
_atom_site_fract_x
_atom_site_fract_y
_atom_site_fract_z
_atom_site_occupancy
Sc1 0.000 0.000 0.000 1
Si1 0.500 0.500 0.500 1
H1 0.000 0.500 0.500 1
```

The most stable of them is a.